Here is a relaxed structure of BaCe2Pb9 from Alexandria via LeMat-Bulk. Energies are from PBE.

Unit cell a=4.988 b=4.988 c=14.941 alpha=90.00 beta=90.00 gamma=90.00
Site moments in Bohr magnetons follow the coordinates.
Sites, in units of the cell vectors:
Ba 0.000 0.000 0.000  -0.01
Ce 0.000 0.000 0.341  0.84
Ce 0.000 0.000 0.659  0.84
Pb 0.500 0.500 0.000  -0.01
Pb 0.500 0.500 0.337  0.01
Pb 0.500 0.500 0.663  0.01
Pb 0.500 0.000 0.177  0.01
Pb 0.500 0.000 0.500  0.01
Pb 0.500 0.000 0.823  0.01
Pb 0.000 0.500 0.177  0.01
Pb 0.000 0.500 0.500  0.01
Pb 0.000 0.500 0.823  0.01

Results
**Formation enthalpy at 0 K**: -0.35 eV per atom